Entry 1:
# MnPbS2Cl

Crystalline MnPbS2Cl at its relaxed geometry (PBE-GGA, Alexandria via LeMat-Bulk).

Values from the calculation:
**Crystal system**: tetragonal
**Energy relative to the elements, uncorrected**: -0.469 eV per atom
**Excess energy over the best structure of this formula in the dataset**: 0.0 kJ/mol of atoms
**Total DFT energy (no corrections)**: -5.065 eV/atom
**DOS(E_F)**: 1.944 states/eV/f.u.

a b c (Å): 4.7697 4.7697 4.7509
angles (deg): 90.00 90.00 90.00
Each line ends with the local moment (μB).
Atoms (fractional coordinates):
Pb: 0.5000 0.5000 0.5000  0.03
S: 0.0000 0.5000 0.0000  0.02
S: 0.5000 0.0000 0.0000  0.02
Cl: 0.0000 0.0000 0.5000  0.03
Mn: 0.0000 0.0000 0.0000  3.70



Entry 2:
# SiIr2Cl

Crystalline SiIr2Cl at its relaxed geometry (PBE-GGA, Alexandria via LeMat-Bulk).

Values from the calculation:
**Crystal system**: orthorhombic
**Energy relative to the elements, uncorrected**: 0.419 eV per atom
**Excess energy over the best structure of this formula in the dataset**: 62.1 kJ/mol of atoms
**Total DFT energy (no corrections)**: -5.829 eV/atom
**DOS(E_F)**: 1.461 states/eV/f.u.

a b c (Å): 2.9080 3.8318 5.3840
angles (deg): 90.00 90.00 90.00
Atoms (fractional coordinates):
Ir: 0.5000 0.5000 0.2876
Ir: 0.0000 0.0000 0.9333
Si: 0.0000 0.0000 0.4506
Cl: 0.5000 0.5000 0.8284



Entry 3:
# La2TeAs2

Crystalline La2TeAs2 at its relaxed geometry (PBE-GGA, Alexandria via LeMat-Bulk).

Values from the calculation:
**Crystal system**: tetragonal
**Energy relative to the elements, uncorrected**: -1.219 eV per atom
**Excess energy over the best structure of this formula in the dataset**: 0.0 kJ/mol of atoms
**Total DFT energy (no corrections)**: -5.678 eV/atom
**DOS(E_F)**: 2.181 states/eV/f.u.

a b c (Å): 8.4399 8.4399 4.1805
angles (deg): 90.00 90.00 90.00
Atoms (fractional coordinates):
As: 0.3957 0.1043 0.5000
As: 0.8957 0.3957 0.5000
As: 0.6043 0.8957 0.5000
As: 0.1043 0.6043 0.5000
La: 0.8270 0.6730 0.0000
La: 0.1730 0.3270 0.0000
La: 0.3270 0.8270 0.0000
La: 0.6730 0.1730 0.0000
Te: 0.5000 0.5000 0.0000
Te: 0.0000 0.0000 0.0000



Entry 4:
# PtW3Cl

Crystalline PtW3Cl at its relaxed geometry (PBE-GGA, Alexandria via LeMat-Bulk).

Values from the calculation:
**Crystal system**: cubic
**Energy relative to the elements, uncorrected**: 2.409 eV per atom
**Excess energy over the best structure of this formula in the dataset**: 99.7 kJ/mol of atoms
**Total DFT energy (no corrections)**: -6.940 eV/atom
**DOS(E_F)**: 9.801 states/eV/f.u.

a b c (Å): 4.8745 4.8745 4.8745
angles (deg): 90.00 90.00 90.00
Each line ends with the local moment (μB).
Atoms (fractional coordinates):
Cl: 0.5000 0.5000 0.5000  0.10
W: 0.0000 0.0000 0.5000  0.47
W: 0.0000 0.5000 0.0000  0.48
W: 0.5000 0.0000 0.0000  0.62
Pt: 0.0000 0.0000 0.0000  0.00